No. 1
{"formula": "LaTm2Ag", "functional": "GGA-PBE", "state": "relaxed", "lattice_angstrom": [[3.589, 0.000, 0.000], [1.794, 3.108, 0.000], [1.794, 1.036, 10.429]], "species": ["Ag", "Tm", "Tm", "La"], "frac_coords": [[0.000, 0.000, 0.000], [0.739, 0.739, 0.783], [0.261, 0.261, 0.217], [0.500, 0.500, 0.500]], "spacegroup": "R-3m, No. 166", "e_form_kj_per_mol_atoms": -1, "energy_ev_per_atom": -4.188, "crystal_system": "trigonal"}

No. 2
{"formula": "LaTm2Ag", "functional": "GGA-PBE", "state": "relaxed", "lattice_angstrom": [[4.939, 0.000, 0.000], [0.000, 4.781, 0.000], [0.000, 0.000, 4.781]], "species": ["Tm", "Tm", "La", "Ag"], "frac_coords": [[0.000, 0.500, 0.000], [0.000, 0.000, 0.500], [0.500, 0.500, 0.500], [0.500, 0.000, 0.000]], "spacegroup": "P4/mmm, No. 123", "e_form_kj_per_mol_atoms": 3, "energy_ev_per_atom": -4.153, "crystal_system": "tetragonal"}

No. 3
{"formula": "LaTm5Ag4", "functional": "GGA-PBE", "state": "relaxed", "lattice_angstrom": [[3.555, 0.000, 0.000], [0.000, 3.555, 0.000], [0.000, 0.000, 19.887]], "species": ["Ag", "Ag", "Ag", "Ag", "La", "Tm", "Tm", "Tm", "Tm", "Tm"], "frac_coords": [[0.000, 0.000, 0.223], [0.000, 0.000, 0.408], [0.000, 0.000, 0.777], [0.000, 0.000, 0.592], [0.000, 0.000, 0.000], [0.500, 0.500, 0.684], [0.500, 0.500, 0.134], [0.500, 0.500, 0.316], [0.500, 0.500, 0.866], [0.500, 0.500, 0.500]], "spacegroup": "P4/mmm, No. 123", "e_form_kj_per_mol_atoms": -25, "energy_ev_per_atom": -4.128, "crystal_system": "tetragonal"}